#w
Below is a relaxed B3HPd crystal, with properties calculated at the PBE level.

Summary:
- Total magnetization: 0.0000 μB per atom

Cell and atoms, written as CIF:
```
data_B3HPd
_chemical_formula_sum 'B3 H1 Pd1'
_symmetry_space_group_name_H-M 'P m -3 m'
_symmetry_Int_Tables_number 221
_symmetry_space_group_name_Hall '-P 4 2 3'
_cell_length_a 4.066
_cell_length_b 4.066
_cell_length_c 4.066
_cell_angle_alpha 90.00
_cell_angle_beta 90.00
_cell_angle_gamma 90.00
loop_
_atom_site_label
_atom_site_type_symbol
_atom_site_fract_x
_atom_site_fract_y
_atom_site_fract_z
_atom_site_occupancy
B1 B 0.000 0.000 0.500 1
H1 H 0.500 0.500 0.500 1
Pd1 Pd 0.000 0.000 0.000 1
```

#x
Below is a relaxed B3HPd crystal, with properties calculated at the PBE level.

Summary:
- Total magnetization: 0.0000 μB per atom

Cell and atoms, written as CIF:
```
data_B3HPd
_chemical_formula_sum 'B3 H1 Pd1'
_symmetry_space_group_name_H-M 'P m -3 m'
_symmetry_Int_Tables_number 221
_symmetry_space_group_name_Hall '-P 4 2 3'
_cell_length_a 3.376
_cell_length_b 3.376
_cell_length_c 3.376
_cell_angle_alpha 90.00
_cell_angle_beta 90.00
_cell_angle_gamma 90.00
loop_
_atom_site_label
_atom_site_type_symbol
_atom_site_fract_x
_atom_site_fract_y
_atom_site_fract_z
_atom_site_occupancy
B1 B 0.000 0.000 0.500 1
H1 H 0.000 0.000 0.000 1
Pd1 Pd 0.500 0.500 0.500 1
```

Most stable structure, least stable structure: #x, #w.